# Li3FeO4 PBE+U relaxed
# - mass density (g cm⁻³) = 3.36
# - energy above the most stable polymorph in this dataset (meV per atom) = 0
data_Li3FeO4
_symmetry_space_group_name_H-M 'I -4 3 m'
_symmetry_Int_Tables_number 217
_symmetry_space_group_name_Hall 'I -4 2 3'
_cell_length_a 8.227
_cell_length_b 8.227
_cell_length_c 8.227
_cell_angle_alpha 90.00
_cell_angle_beta 90.00
_cell_angle_gamma 90.00
loop_
_atom_site_label
_atom_site_type_symbol
_atom_site_fract_x
_atom_site_fract_y
_atom_site_fract_z
Li1 Li 0.121 0.373 0.627
Fe1 Fe 0.133 0.133 0.867
O1 O 0.112 0.112 0.112
O2 O 0.124 0.124 0.649